Record 1
Crystalline Pr3SeI3 at its relaxed geometry. Source: the Alexandria database, functional PBE.

Cell: 7.4529 7.4529 34.6632 Å, 90.00 90.00 120.00°
Space group R-3 (No. 148, hexagonal axes)
One atom of each set of equivalent atoms:
1 Pr 0.0000 0.3371 0.0458
2 Se 0.0000 0.0000 0.3333
3 I 0.0000 0.3327 0.8939

Computed properties:
- DOS at the Fermi energy (states/eV/f.u.) = 2.438
- electronic total energy (eV/atom) = -4.593

---

Record 2
Crystalline Er4C2Cl at its relaxed geometry. Source: the Alexandria database, functional PBE.

Cell: 3.5849 3.5849 38.4705 Å, 90.00 90.00 120.00°
Space group R-3m (No. 166, hexagonal axes)
One atom of each set of equivalent atoms:
1 Er 0.0000 0.0000 0.1231
2 Er 0.0000 0.0000 0.2780
3 C 0.0000 0.0000 0.4198
4 Cl 0.0000 0.0000 0.0000

Computed properties:
- DOS at the Fermi energy (states/eV/f.u.) = 4.066
- electronic total energy (eV/atom) = -6.274

---

Record 3
Crystalline LiLuScRh at its relaxed geometry. Source: the Alexandria database, functional PBE.

Cell: 6.694 6.694 6.694 Å, 90.00 90.00 90.00°
Space group F-43m (No. 216)
One atom of each set of equivalent atoms:
1 Li 0.000 0.000 0.000
2 Lu 0.250 0.250 0.750
3 Sc 0.250 0.250 0.250
4 Rh 0.000 0.000 0.500

Computed properties:
- DOS at the Fermi energy (states/eV/f.u.) = 2.945
- formation energy (eV per atom) = -0.55

---

Record 4
Crystalline Hf4Pt5Rh4 at its relaxed geometry. Source: the Alexandria database, functional PBE.

Cell: 10.306 10.306 4.056 Å, 90.00 90.00 90.00°
Space group I4/m (No. 87)
One atom of each set of equivalent atoms:
1 Hf 0.129 0.762 0.000
2 Pt 0.000 0.000 0.000
3 Pt 0.056 0.190 0.500
4 Rh 0.087 0.385 0.000

Computed properties:
- DOS at the Fermi energy (states/eV/f.u.) = 6.900
- formation energy (eV per atom) = -0.92

---

Record 5
Crystalline Er4Al3Cu at its relaxed geometry. Source: the Alexandria database, functional PBE.

Cell: 3.658 4.449 11.361 Å, 90.00 90.00 90.00°
Space group Pmm2 (No. 25)
One atom of each set of equivalent atoms:
1 Er 0.000 0.000 0.000
2 Er 0.000 0.500 0.291
3 Er 0.500 0.000 0.479
4 Er 0.500 0.500 0.801
5 Al 0.000 0.000 0.709
6 Al 0.000 0.500 0.573
7 Al 0.500 0.500 0.077
8 Cu 0.500 0.000 0.210

Computed properties:
- DOS at the Fermi energy (states/eV/f.u.) = 7.442
- formation energy (eV per atom) = -0.34
- polymorph energy (0 for the lowest one) (meV per atom) = 22.0

---

Record 6
Crystalline KTlClF at its relaxed geometry. Source: the Alexandria database, functional PBE.

Cell: 4.1186 4.1186 21.7526 Å, 90.00 90.00 120.00°
Space group R3m (No. 160, hexagonal axes)
One atom of each set of equivalent atoms:
1 K 0.0000 0.0000 0.0000
2 Tl 0.0000 0.0000 0.8085
3 Cl 0.0000 0.0000 0.5700
4 F 0.0000 0.0000 0.3952

Computed properties:
- DOS at the Fermi energy (states/eV/f.u.) = 0.000
- polymorph energy (0 for the lowest one) (meV per atom) = 0.0

---

Record 7
Crystalline VGaH2 at its relaxed geometry. Source: the Alexandria database, functional PBE.

Cell: 3.665 3.665 11.088 Å, 90.00 90.00 90.00°
Space group I-42d (No. 122)
One atom of each set of equivalent atoms:
1 V 0.000 0.000 0.000
2 Ga 0.000 0.000 0.500
3 H 0.157 0.250 0.125

Computed properties:
- DOS at the Fermi energy (states/eV/f.u.) = 0.398
- polymorph energy (0 for the lowest one) (meV per atom) = 154.7

---

Record 8
Crystalline Tb4AgPd at its relaxed geometry. Source: the Alexandria database, functional PBE.

Cell: 13.613 13.613 13.613 Å, 90.00 90.00 90.00°
Space group F-43m (No. 216)
One atom of each set of equivalent atoms:
1 Tb 0.000 0.000 0.184
2 Tb 0.061 0.250 0.750
3 Tb 0.108 0.108 0.392
4 Ag 0.166 0.166 0.166
5 Pd 0.104 0.104 0.604

Computed properties:
- DOS at the Fermi energy (states/eV/f.u.) = 5.909
- formation energy (eV per atom) = -0.42
- polymorph energy (0 for the lowest one) (meV per atom) = 0.0

---

Record 9
Crystalline HfScNbO6 at its relaxed geometry. Source: the Alexandria database, functional PBE.

Cell: 5.3082 5.3082 9.1500 Å, 90.00 90.00 120.00°
Space group P-31c (No. 163)
One atom of each set of equivalent atoms:
1 Hf 0.3333 0.6667 0.2500
2 Sc 0.0000 0.0000 0.0000
3 Nb 0.3333 0.6667 0.7500
4 O 0.0095 0.3462 0.6319

Computed properties:
- DOS at the Fermi energy (states/eV/f.u.) = 0.000
- electronic total energy (eV/atom) = -9.317

---

Record 10
Crystalline CsMgCd2Hg at its relaxed geometry. Source: the Alexandria database, functional PBE.

Cell: 5.838 5.838 5.402 Å, 90.00 90.00 90.00°
Space group P4/mmm (No. 123)
One atom of each set of equivalent atoms:
1 Cs 0.000 0.000 0.000
2 Mg 0.500 0.500 0.000
3 Cd 0.000 0.500 0.500
4 Hg 0.500 0.500 0.500

Computed properties:
- DOS at the Fermi energy (states/eV/f.u.) = 1.721
- formation energy (eV per atom) = 0.05
- polymorph energy (0 for the lowest one) (meV per atom) = 44.2

---

Record 11
Crystalline YCr2NiSb at its relaxed geometry. Source: the Alexandria database, functional PBE.

Cell: 5.013 5.013 5.600 Å, 90.00 90.00 90.00°
Space group P4/mmm (No. 123)
One atom of each set of equivalent atoms:
1 Y 0.000 0.000 0.000
2 Cr 0.000 0.500 0.000
3 Ni 0.500 0.500 0.500
4 Sb 0.000 0.000 0.500

Computed properties:
- DOS at the Fermi energy (states/eV/f.u.) = 6.462
- electronic total energy (eV/atom) = -5.238

---

Record 12
Crystalline Tb6Y8Th at its relaxed geometry. Source: the Alexandria database, functional PBE.

Cell: 9.8264 9.8264 17.4891 Å, 90.00 90.00 120.00°
Space group R-3 (No. 148, hexagonal axes)
One atom of each set of equivalent atoms:
1 Tb 0.0392 0.7463 0.1751
2 Y 0.0000 0.0000 0.0890
3 Y 0.0607 0.8204 0.6691
4 Th 0.0000 0.0000 0.5000

Computed properties:
- DOS at the Fermi energy (states/eV/f.u.) = 20.150
- formation energy (eV per atom) = 0.18
- polymorph energy (0 for the lowest one) (meV per atom) = 57.5

---

Record 13
Crystalline GeRuS3 at its relaxed geometry. Source: the Alexandria database, functional PBE.

Cell: 4.564 4.564 4.564 Å, 90.00 90.00 90.00°
Space group Pm-3m (No. 221)
One atom of each set of equivalent atoms:
1 Ge 0.000 0.000 0.000
2 Ru 0.500 0.500 0.500
3 S 0.000 0.000 0.500

Computed properties:
- DOS at the Fermi energy (states/eV/f.u.) = 8.986
- polymorph energy (0 for the lowest one) (meV per atom) = 656.8

---

Record 14
Crystalline Tl3InPb4 at its relaxed geometry. Source: the Alexandria database, functional PBE.

Cell: 7.181 9.436 7.255 Å, 90.00 90.00 90.00°
Space group Pmna (No. 53)
One atom of each set of equivalent atoms:
1 Tl 0.000 0.000 0.000
2 Tl 0.250 0.254 0.250
3 In 0.000 0.500 0.000
4 Pb 0.000 0.000 0.500
5 Pb 0.000 0.500 0.500
6 Pb 0.250 0.255 0.750

Computed properties:
- DOS at the Fermi energy (states/eV/f.u.) = 3.396
- formation energy (eV per atom) = 0.00
- polymorph energy (0 for the lowest one) (meV per atom) = 0.0

---

Record 15
Crystalline Sr2ZnRu at its relaxed geometry. Source: the Alexandria database, functional PBE.

Cell: 4.654 4.654 9.064 Å, 90.00 90.00 90.00°
Space group I-4m2 (No. 119)
One atom of each set of equivalent atoms:
1 Sr 0.000 0.000 0.000
2 Sr 0.000 0.500 0.250
3 Zn 0.000 0.500 0.750
4 Ru 0.000 0.000 0.500

Computed properties:
- DOS at the Fermi energy (states/eV/f.u.) = 2.275
- formation energy (eV per atom) = 0.39

---

Record 16
Crystalline Cu2HgBr at its relaxed geometry. Source: the Alexandria database, functional PBE.

Cell: 3.489 3.489 6.380 Å, 90.00 90.00 90.00°
Space group P4/mmm (No. 123)
One atom of each set of equivalent atoms:
1 Cu 0.000 0.000 0.195
2 Hg 0.500 0.500 0.000
3 Br 0.500 0.500 0.500

Computed properties:
- DOS at the Fermi energy (states/eV/f.u.) = 0.979
- polymorph energy (0 for the lowest one) (meV per atom) = 248.0

---

Record 17
Crystalline NaRhC2 at its relaxed geometry. Source: the Alexandria database, functional PBE.

Cell: 5.433 5.433 5.433 Å, 90.00 90.00 90.00°
Space group Fm-3m (No. 225)
One atom of each set of equivalent atoms:
1 Na 0.000 0.000 0.000
2 Rh 0.000 0.000 0.500
3 C 0.250 0.250 0.250

Computed properties:
- DOS at the Fermi energy (states/eV/f.u.) = 2.313
- formation energy (eV per atom) = 1.66

---

Record 18
Crystalline Ca4TaSi at its relaxed geometry. Source: the Alexandria database, functional PBE.

Cell: 8.856 8.856 8.856 Å, 90.00 90.00 90.00°
Space group F-43m (No. 216)
One atom of each set of equivalent atoms:
1 Ca 0.125 0.125 0.125
2 Ta 0.000 0.000 0.500
3 Si 0.250 0.250 0.750

Computed properties:
- DOS at the Fermi energy (states/eV/f.u.) = 5.098
- electronic total energy (eV/atom) = -3.210

---

Record 19
Crystalline Sb2TeOs at its relaxed geometry. Source: the Alexandria database, functional PBE.

Cell: 3.381 5.082 5.146 Å, 90.00 90.00 90.00°
Space group Pmmm (No. 47)
One atom of each set of equivalent atoms:
1 Sb 0.000 0.000 0.000
2 Sb 0.500 0.500 0.000
3 Te 0.000 0.500 0.500
4 Os 0.500 0.000 0.500

Computed properties:
- DOS at the Fermi energy (states/eV/f.u.) = 3.511
- electronic total energy (eV/atom) = -4.822

---

Record 20
Crystalline DyHI2 at its relaxed geometry. Source: the Alexandria database, functional PBE.

Cell: 4.299 4.320 15.666 Å, 90.00 90.00 90.00°
Space group Immm (No. 71)
One atom of each set of equivalent atoms:
1 Dy 0.000 0.000 0.000
2 H 0.000 0.500 0.500
3 I 0.000 0.500 0.136

Computed properties:
- DOS at the Fermi energy (states/eV/f.u.) = 0.000
- electronic total energy (eV/atom) = -3.777

---

Record 21
Crystalline Sc3TlS4 at its relaxed geometry. Source: the Alexandria database, functional PBE.

Cell: 3.6998 3.6998 28.4201 Å, 90.00 90.00 120.00°
Space group P6_3/mmc (No. 194)
One atom of each set of equivalent atoms:
1 Sc 0.0000 0.0000 0.0000
2 Sc 0.3333 0.6667 0.1085
3 Tl 0.3333 0.6667 0.7500
4 S 0.0000 0.0000 0.1569
5 S 0.3333 0.6667 0.5532

Computed properties:
- DOS at the Fermi energy (states/eV/f.u.) = 3.860
- electronic total energy (eV/atom) = -6.361

---

Record 22
Crystalline KP3 at its relaxed geometry. Source: the Alexandria database, functional PBE.

Cell: 3.618 3.618 6.449 Å, 90.00 90.00 90.00°
Space group P4/mmm (No. 123)
One atom of each set of equivalent atoms:
1 K 0.000 0.000 0.000
2 P 0.000 0.000 0.500
3 P 0.500 0.500 0.340

Computed properties:
- DOS at the Fermi energy (states/eV/f.u.) = 3.388
- formation energy (eV per atom) = 0.21
- polymorph energy (0 for the lowest one) (meV per atom) = 311.7

---

Record 23
Crystalline Ru2RhCl at its relaxed geometry. Source: the Alexandria database, functional PBE.

Cell: 2.828 2.828 7.262 Å, 90.00 90.00 90.00°
Space group P4/mmm (No. 123)
One atom of each set of equivalent atoms:
1 Ru 0.000 0.000 0.249
2 Rh 0.500 0.500 0.000
3 Cl 0.500 0.500 0.500

Computed properties:
- DOS at the Fermi energy (states/eV/f.u.) = 6.292
- polymorph energy (0 for the lowest one) (meV per atom) = 236.4